Density functional theory data (meta-GGA SCAN) for TaMn2In at its PBEsol-relaxed geometry.

Calculated values
The volume comes out at 64.23 Å³ per cell. As for the calculated density: 10.5 Mg/m³. The calculation puts the total energy at -135.81 eV per cell. The density of states at the Fermi level comes out at 2.66 states/eV per cell. Its space group is R-3m. As for the formation energy from the elements: 0.67 eV/f.u.

Cell lengths 2.997, 2.997, 8.436 Å; angles 79.77, 79.77, 60.00 degrees
Fractional coordinates of all 4 atoms:
In 0.000 0.000 0.000
Mn 0.244 0.244 0.269
Mn 0.756 0.756 0.731
Ta 0.500 0.500 0.500

---

Density functional theory data (meta-GGA SCAN) for YMg3 at its PBEsol-relaxed geometry.

Calculated values
The volume comes out at 606.18 Å³ per cell. As for the calculated density: 2.7 Mg/m³. The calculation puts the total energy at -256.81 eV per cell. The density of states at the Fermi level comes out at 9.92 states/eV per cell. Its space group is P6_3cm. As for the formation energy from the elements: -0.04 eV/f.u.

Cell lengths 8.684, 8.684, 9.283 Å; angles 90.00, 90.00, 120.00 degrees
Fractional coordinates of all 24 atoms:
Mg 0.667 0.667 0.607
Mg 0.000 0.333 0.607
Mg 0.333 0.000 0.607
Mg 0.333 0.333 0.107
Mg 0.000 0.667 0.107
Mg 0.667 0.000 0.107
Mg 0.333 0.333 0.787
Mg 0.000 0.667 0.787
Mg 0.667 0.000 0.787
Mg 0.667 0.667 0.287
Mg 0.000 0.333 0.287
Mg 0.333 0.000 0.287
Mg 0.667 0.333 0.698
Mg 0.333 0.667 0.198
Mg 0.667 0.333 0.198
Mg 0.333 0.667 0.698
Mg 0.000 0.000 0.196
Mg 0.000 0.000 0.696
Y 0.666 0.666 0.947
Y 0.000 0.334 0.947
Y 0.334 0.000 0.947
Y 0.334 0.334 0.447
Y 0.000 0.666 0.447
Y 0.666 0.000 0.447

---

Density functional theory data (meta-GGA SCAN) for KBa3Cl at its PBEsol-relaxed geometry.

Calculated values
The volume comes out at 253.93 Å³ per cell. As for the calculated density: 3.2 Mg/m³. The calculation puts the total energy at -138.40 eV per cell. The density of states at the Fermi level comes out at 5.58 states/eV per cell. Its space group is Pm-3m. For the raw formation energy, the calculation gives -0.6876 eV/atom.

Cell lengths 6.332, 6.332, 6.332 Å; angles 90.00, 90.00, 90.00 degrees
Fractional coordinates of all 5 atoms:
K 0.500 0.500 0.500
Ba 0.000 0.500 0.000
Ba 0.000 0.000 0.500
Ba 0.500 0.000 0.000
Cl 0.000 0.000 0.000

---

Density functional theory data (meta-GGA SCAN) for MnV at its PBEsol-relaxed geometry.

Calculated values
The volume comes out at 22.79 Å³ per cell. As for the calculated density: 7.7 Mg/m³. The calculation puts the total energy at -36.40 eV per cell. The density of states at the Fermi level comes out at 0.51 states/eV per cell. Its space group is Pm-3m. As for the formation energy from the elements: -0.66 eV/f.u.

Cell lengths 2.835, 2.835, 2.835 Å; angles 90.00, 90.00, 90.00 degrees
Fractional coordinates of all 2 atoms:
Mn 0.000 0.000 0.000
V 0.500 0.500 0.500

---

Density functional theory data (meta-GGA SCAN) for AlP2Pb at its PBEsol-relaxed geometry.

Calculated values
The volume comes out at 95.79 Å³ per cell. As for the calculated density: 5.1 Mg/m³. The calculation puts the total energy at -104.82 eV per cell. The density of states at the Fermi level comes out at 1.51 states/eV per cell. Its space group is Pm. As for the formation energy from the elements: -0.49 eV/f.u. For the energy above the most stable polymorph in this dataset, the calculation gives 31 meV per atom.

Cell lengths 3.935, 4.056, 6.060 Å; angles 90.00, 97.96, 90.00 degrees
Fractional coordinates of all 4 atoms:
Pb 0.539 0.000 0.482
P 0.089 0.000 0.796
P 0.707 0.500 0.222
Al 0.164 0.500 0.001

---

Density functional theory data (meta-GGA SCAN) for CuHgSe2Br at its PBEsol-relaxed geometry.

Calculated values
The volume comes out at 111.63 Å³ per cell. As for the calculated density: 7.5 Mg/m³. The calculation puts the total energy at -141.27 eV per cell. The density of states at the Fermi level comes out at 4.00 states/eV per cell. Its space group is P4/mmm. For the raw formation energy, the calculation gives 0.3424 eV/atom.

Cell lengths 4.818, 4.818, 4.809 Å; angles 90.00, 90.00, 90.00 degrees
Fractional coordinates of all 5 atoms:
Cu 0.000 0.000 0.000
Se 0.000 0.500 0.000
Se 0.500 0.000 0.000
Hg 0.500 0.500 0.500
Br 0.000 0.000 0.500

---

Density functional theory data (meta-GGA SCAN) for Y3SnC at its PBEsol-relaxed geometry.

Calculated values
The volume comes out at 112.85 Å³ per cell. As for the calculated density: 5.8 Mg/m³. The calculation puts the total energy at -133.52 eV per cell. The density of states at the Fermi level comes out at 1.99 states/eV per cell. Its space group is Pm-3m. As for the formation energy from the elements: -3.97 eV/f.u.

Cell lengths 4.832, 4.832, 4.832 Å; angles 90.00, 90.00, 90.00 degrees
Fractional coordinates of all 5 atoms:
Y 0.000 0.500 0.500
Y 0.500 0.000 0.500
Y 0.500 0.500 0.000
C 0.500 0.500 0.500
Sn 0.000 0.000 0.000

---

Density functional theory data (meta-GGA SCAN) for CaHg5 at its PBEsol-relaxed geometry.

Calculated values
The volume comes out at 140.28 Å³ per cell. As for the calculated density: 12.3 Mg/m³. The calculation puts the total energy at -352.41 eV per cell. The density of states at the Fermi level comes out at 2.07 states/eV per cell. Its space group is C2/m. As for the formation energy from the elements: -1.92 eV/f.u. For the energy above the most stable polymorph in this dataset, the calculation gives 7 meV per atom.

Cell lengths 4.440, 5.632, 6.571 Å; angles 109.88, 90.00, 113.21 degrees
Fractional coordinates of all 6 atoms:
Ca 0.000 0.000 0.000
Hg 0.671 0.341 0.339
Hg 0.329 0.659 0.661
Hg 0.338 0.675 0.171
Hg 0.000 0.000 0.500
Hg 0.662 0.325 0.829